The following is a DFT calculation (PBE) of TbGeH after structural relaxation. Values from VASP.

Quantum ESPRESSO input file:
```
&SYSTEM
  ibrav = 0, nat = 12, ntyp = 3
/
ATOMIC_SPECIES
H 1.01 H.upf
Ge 72.64 Ge.upf
Tb 158.93 Tb.upf
ATOMIC_POSITIONS crystal
H 0.250 0.572 0.380
H 0.250 0.928 0.880
H 0.750 0.072 0.120
H 0.750 0.428 0.620
Ge 0.250 0.123 0.531
Ge 0.750 0.877 0.469
Ge 0.750 0.623 0.969
Ge 0.250 0.377 0.031
Tb 0.750 0.117 0.826
Tb 0.750 0.383 0.326
Tb 0.250 0.617 0.674
Tb 0.250 0.883 0.174
CELL_PARAMETERS angstrom
3.977 0.000 0.000
0.000 6.063 0.000
0.000 0.000 7.787
```

Calculated values
Energy relative to the lowest polymorph listed for this composition, meV/atom: 11.7
Symmetry: Pnma
Total magnetization, μB per cell: 0.000